DFT (PBE-GGA) results for a geometry-optimized Ba2SrIn structure.

The structure in extended XYZ format:
```
16
Lattice="8.967 0.000 0.000 0.000 8.967 0.000 0.000 0.000 8.967" Properties=species:S:1:pos:R:3 pbc="T T T"
Ba 2.242 2.242 2.242
Ba 2.242 2.242 6.725
Ba 2.242 6.725 2.242
Ba 2.242 6.725 6.725
Ba 6.725 2.242 2.242
Ba 6.725 2.242 6.725
Ba 6.725 6.725 2.242
Ba 6.725 6.725 6.725
Sr 0.000 0.000 0.000
Sr 0.000 4.484 4.484
Sr 4.484 0.000 4.484
Sr 4.484 4.484 0.000
In 0.000 0.000 4.484
In 0.000 4.484 0.000
In 4.484 0.000 0.000
In 4.484 4.484 4.484
```

Computed properties:
- E_tot: -2.196 eV per atom
- Relative energy among the computed polymorphs: 8.5 kJ per mole of atoms
- Space group: No. 225
- E_form: -0.13 eV/atom